DFT (GGA-PBE) results for a geometry-optimized Ag5TeSe2 structure.

Cell lengths 8.723, 8.410, 4.940 Å; angles 76.75, 69.79, 33.46 degrees
Element x y z (fractional)
Ag (0.000, 0.000, 0.000)
Ag (0.114, 0.114, 0.386)
Ag (0.386, 0.386, 0.114)
Ag (0.614, 0.614, 0.886)
Ag (0.886, 0.886, 0.614)
Te (0.500, 0.500, 0.500)
Se (0.182, 0.182, 0.818)
Se (0.818, 0.818, 0.182)

Output
- Crystal system: orthorhombic
- Spin magnetization: 0.0 Bohr magnetons per cell
- E: -0.1115 Ha/atom
- Distance to the lowest polymorph of the same formula: 0.42 kJ/mol of atoms